This record from Alexandria via LeMat-Bulk describes a relaxed Pm3Pd3Pb crystal. The functional is PBE.

Computed properties:
energy = -5.426 eV/atom
M_tot = 0.00 μB/f.u.
DOS(E_F) = 0.711 states/eV per atom
formation energy from the elements = -0.634 eV per atom

Cell lengths 4.921, 9.024, 9.024 Å; angles 120.00, 90.00, 90.00 degrees
Sites, in units of the cell vectors:
Pm  0.250  0.597  0.920
Pd  0.750  0.163  0.198
Pd  0.250  0.837  0.802
Pd  0.250  0.966  0.163
Pd  0.750  0.034  0.837
Pd  0.250  0.198  0.034
Pb  0.250  0.667  0.333
Pm  0.750  0.920  0.323
Pb  0.750  0.333  0.667
Pm  0.750  0.677  0.597
Pd  0.750  0.802  0.966
Pm  0.250  0.323  0.403
Pm  0.250  0.080  0.677
Pm  0.750  0.403  0.080